A relaxed structure of SrCd2Ru. Source: the Alexandria database, functional GGA-PBE.

Properties
For the magnetic moment, the calculation gives 0.000 μB/cell. For the formation energy, the calculation gives 0.274 eV per atom. Its calculated volume is 24.6 Å³/atom. Its symmetry is Amm2, No. 38.

Cell: 4.438 3.983 5.913 Å, 70.36 90.00 90.00°
Fractional positions:
1 Cd 0.000 0.026 0.073
2 Cd 0.500 0.444 0.236
3 Ru 0.000 0.308 0.508
4 Sr 0.500 0.722 0.682